# 1
# BaPr2In2Ag2

A relaxed BaPr2In2Ag2 crystal (PBE, Alexandria via LeMat-Bulk).

Unit cell a=5.0322 b=5.0322 c=10.3662 alpha=75.95 beta=75.95 gamma=60.00
Closest atoms and distances in Å follow each position.
Positions (direct):
Ag  0.4152  0.4152  0.7544  3 In 2.91, 3 Pr 3.23
Ag  0.5848  0.5848  0.2456  3 In 2.91, 3 Pr 3.23
Ba  0.0000  0.0000  0.0000  6 Ag 3.80, 6 In 3.81, 2 Pr 3.85
Pr  0.1290  0.1290  0.6129  3 In 3.22, 3 Ag 3.23
Pr  0.8710  0.8710  0.3871  3 In 3.22, 3 Ag 3.23
In  0.7494  0.7494  0.7517  3 Ag 2.91, 3 Pr 3.22
In  0.2506  0.2506  0.2483  3 Ag 2.91, 3 Pr 3.22

- energy of formation from the pure elements (eV/atom) = -0.31
- raw total energy (eV/atom) = -3.55
- crystal system = trigonal
- magnetization (Bohr magnetons per cell) = 0.00

---

# 2
# BaPrInAg

A relaxed BaPrInAg crystal (PBE, Alexandria via LeMat-Bulk).

Unit cell a=5.6839 b=5.6839 c=5.6839 alpha=60.00 beta=60.00 gamma=60.00
Closest atoms and distances in Å follow each position.
Positions (direct):
Ag  0.2500  0.2500  0.2500  4 Ba 3.48, 4 Pr 3.48
In  0.7500  0.7500  0.7500  4 Ba 3.48, 4 Pr 3.48
Ba  0.0000  0.0000  0.0000  4 In 3.48, 4 Ag 3.48
Pr  0.5000  0.5000  0.5000  4 In 3.48, 4 Ag 3.48

- energy of formation from the pure elements (eV/atom) = -0.25
- raw total energy (eV/atom) = -3.32
- crystal system = cubic
- magnetization (Bohr magnetons per cell) = 0.00

---

# 3
# Ba6InAgPt

A relaxed Ba6InAgPt crystal (PBE, Alexandria via LeMat-Bulk).

Unit cell a=8.2962 b=8.2962 c=7.7550 alpha=89.99 beta=90.01 gamma=60.00
Closest atoms and distances in Å follow each position.
Positions (direct):
Ba  0.0177  0.3440  0.2600  1 Pt 3.18, 1 Ag 3.36, 1 In 3.56
Ba  0.6382  0.0177  0.2600  1 Pt 3.18, 1 Ag 3.36, 1 In 3.56
Ba  0.3440  0.6382  0.2600  1 Pt 3.18, 1 Ag 3.36, 1 In 3.56
Ba  0.0177  0.6382  0.7400  1 Pt 3.18, 1 Ag 3.36, 1 In 3.56
Ba  0.6382  0.3440  0.7400  1 Pt 3.18, 1 Ag 3.36, 1 In 3.56
Ba  0.3440  0.0178  0.7400  1 Pt 3.18, 1 Ag 3.36, 1 In 3.56
In  0.0000  0.0000  0.0000  6 Ba 3.56
Pt  0.3333  0.3333  0.5000  6 Ba 3.18
Ag  0.6666  0.6667  0.5000  6 Ba 3.36

- energy of formation from the pure elements (eV/atom) = -0.31
- raw total energy (eV/atom) = -2.89
- crystal system = trigonal
- magnetization (Bohr magnetons per cell) = 0.00

---

# 4
# BaIn3AgPt

A relaxed BaIn3AgPt crystal (PBE, Alexandria via LeMat-Bulk).

Unit cell a=6.8728 b=6.9469 c=7.6969 alpha=116.83 beta=90.00 gamma=90.00
Closest atoms and distances in Å follow each position.
Positions (direct):
Ag  0.7500  0.6442  0.2885  5 In 2.84-3.01
Ag  0.2500  0.3558  0.7115  5 In 2.84-3.01
In  0.2500  0.1488  0.2976  1 Pt 2.74, 1 Ag 2.84
In  0.0000  0.2868  0.0000  2 Pt 2.72, 1 In 2.96, 2 Ag 3.01
In  0.5000  0.2868  0.0000  2 Pt 2.72, 1 In 2.96, 2 Ag 3.01
In  0.0000  0.7132  0.0000  2 Pt 2.72, 1 In 2.96, 2 Ag 3.01
In  0.7500  0.8512  0.7024  1 Pt 2.74, 1 Ag 2.84
In  0.5000  0.7132  0.0000  2 Pt 2.72, 1 In 2.96, 2 Ag 3.01
Ba  0.2500  0.7293  0.4586  1 Pt 3.03
Ba  0.7500  0.2707  0.5414  1 Pt 3.03
Pt  0.2500  0.9496  0.8991  5 In 2.72-2.74, 1 Ba 3.03
Pt  0.7500  0.0504  0.1009  5 In 2.72-2.74, 1 Ba 3.03

- energy of formation from the pure elements (eV/atom) = -0.29
- raw total energy (eV/atom) = -3.47
- crystal system = orthorhombic
- magnetization (Bohr magnetons per cell) = 0.00

---

# 5
# BaInAgPt

A relaxed BaInAgPt crystal (PBE, Alexandria via LeMat-Bulk).

Unit cell a=4.7811 b=4.7814 c=6.2514 alpha=112.60 beta=90.00 gamma=120.00
Closest atoms and distances in Å follow each position.
Positions (direct):
Ag  0.8190  0.6381  0.0990  3 In 2.88-2.89, 3 Pt 2.95
In  0.1023  0.2046  0.9492  3 Pt 2.77, 3 Ag 2.88-2.89
Ba  0.6208  0.2416  0.5045  4 Pt 3.30-3.60, 4 Ag 3.33-3.58
Pt  0.4241  0.8483  0.9147  3 In 2.77, 3 Ag 2.95

- energy of formation from the pure elements (eV/atom) = -0.50
- raw total energy (eV/atom) = -3.89
- crystal system = monoclinic
- magnetization (Bohr magnetons per cell) = 0.00

---

# 6
# Ba2In4Ag3Pt

A relaxed Ba2In4Ag3Pt crystal (PBE, Alexandria via LeMat-Bulk).

Unit cell a=4.8486 b=4.8486 c=11.5394 alpha=90.00 beta=90.00 gamma=90.00
Closest atoms and distances in Å follow each position.
Positions (direct):
Ba  0.5000  0.0000  0.2602  2 Pt 3.68, 6 Ag 3.68-3.70, 9 In 3.72-4.09
Ba  0.0000  0.5000  0.7398  2 Pt 3.68, 6 Ag 3.68-3.70, 9 In 3.72-4.09
Pt  0.5000  0.5000  0.5000  4 In 2.76
Ag  0.0000  0.5000  0.1392  5 In 2.84-2.91
Ag  0.0000  0.0000  0.5000  4 In 2.76
Ag  0.5000  0.0000  0.8608  5 In 2.84-2.91
In  0.5000  0.5000  0.0000  4 Ag 2.91
In  0.5000  0.0000  0.6145  2 Pt 2.76, 3 Ag 2.76-2.84
In  0.0000  0.0000  0.0000  4 Ag 2.91
In  0.0000  0.5000  0.3855  2 Pt 2.76, 3 Ag 2.76-2.84

- energy of formation from the pure elements (eV/atom) = -0.37
- raw total energy (eV/atom) = -3.31
- crystal system = tetragonal
- magnetization (Bohr magnetons per cell) = 0.00